Record 1
VASP calculation (SCAN) on a PBEsol-optimized structure of Ca2RuRh.

a b c (Å): 4.543 4.858 8.345
angles (deg): 90.00 90.00 90.00
Fractional coordinates of all 8 atoms:
Ca1 0.000 0.000 0.000
Ca2 0.000 0.500 0.407
Ca3 0.500 0.000 0.407
Ca4 0.500 0.500 0.000
Ru1 0.000 0.500 0.760
Ru2 0.500 0.000 0.760
Rh1 0.000 0.000 0.642
Rh2 0.500 0.500 0.642

**E_form**: 128 meV per atom
**Calculated volume**: 23.021 Å³/atom
**DOS at the Fermi energy**: 7.51 states/eV per cell
**Total energy**: -87.41 eV/f.u.
**Symmetry**: Cmm2, No. 35

Record 2
VASP calculation (SCAN) on a PBEsol-optimized structure of CaRuRh2.

a b c (Å): 3.925 3.925 7.992
angles (deg): 90.00 90.00 90.00
Fractional coordinates of all 8 atoms:
Ca1 0.000 0.000 0.000
Ca2 0.500 0.500 0.500
Ru1 0.000 0.500 0.750
Ru2 0.500 0.000 0.250
Rh1 0.000 0.000 0.500
Rh2 0.000 0.500 0.250
Rh3 0.500 0.000 0.750
Rh4 0.500 0.500 0.000

**E_form**: 233 meV per atom
**Calculated volume**: 15.389 Å³/atom
**DOS at the Fermi energy**: 8.42 states/eV per cell
**Total energy**: -111.10 eV/f.u.
**Symmetry**: I-4m2, No. 119

Record 3
VASP calculation (SCAN) on a PBEsol-optimized structure of CaRu2Rh.

a b c (Å): 2.731 2.731 8.365
angles (deg): 90.00 90.00 90.00
Fractional coordinates of all 4 atoms:
Ca1 0.000 0.000 0.000
Ru1 0.500 0.500 0.284
Ru2 0.500 0.500 0.716
Rh1 0.000 0.000 0.500

**E_form**: 376 meV per atom
**Calculated volume**: 15.593 Å³/atom
**DOS at the Fermi energy**: 4.62 states/eV per cell
**Total energy**: -111.58 eV/f.u.
**Symmetry**: P4/mmm, No. 123

Record 4
VASP calculation (SCAN) on a PBEsol-optimized structure of CaRhS2.

a b c (Å): 6.379 6.379 6.379
angles (deg): 90.00 90.00 90.00
Fractional coordinates of all 16 atoms:
Ca1 0.000 0.000 0.000
Ca2 0.000 0.500 0.500
Ca3 0.500 0.000 0.500
Ca4 0.500 0.500 0.000
Rh1 0.000 0.000 0.500
Rh2 0.000 0.500 0.000
Rh3 0.500 0.000 0.000
Rh4 0.500 0.500 0.500
S1 0.250 0.250 0.250
S2 0.250 0.250 0.750
S3 0.250 0.750 0.250
S4 0.250 0.750 0.750
S5 0.750 0.250 0.250
S6 0.750 0.250 0.750
S7 0.750 0.750 0.250
S8 0.750 0.750 0.750

**Formation energy from raw total energies**: -68 kJ per mole of atoms
**Calculated volume**: 16.225 Å³/atom
**DOS at the Fermi energy**: 8.09 states/eV per cell
**Total energy**: -65.53 eV/f.u.
**Symmetry**: Fm-3m, No. 225

Record 5
VASP calculation (SCAN) on a PBEsol-optimized structure of CaSbRh2.

a b c (Å): 3.617 3.617 5.565
angles (deg): 90.00 90.00 90.00
Fractional coordinates of all 4 atoms:
Ca1 0.000 0.000 0.000
Sb1 0.500 0.500 0.663
Rh1 0.000 0.000 0.495
Rh2 0.500 0.500 0.201

**Formation energy from raw total energies**: -33 kJ per mole of atoms
**Calculated volume**: 18.207 Å³/atom
**DOS at the Fermi energy**: 2.34 states/eV per cell
**Total energy**: -115.85 eV/f.u.
**Symmetry**: P4mm, No. 99

Record 6
VASP calculation (SCAN) on a PBEsol-optimized structure of CaSb2Rh.

a b c (Å): 3.315 3.315 7.814
angles (deg): 90.00 90.00 90.00
Fractional coordinates of all 4 atoms:
Ca1 0.000 0.000 0.000
Sb1 0.500 0.500 0.293
Sb2 0.500 0.500 0.707
Rh1 0.000 0.000 0.500

**Formation energy from raw total energies**: -39 kJ per mole of atoms
**Calculated volume**: 21.472 Å³/atom
**DOS at the Fermi energy**: 2.03 states/eV per cell
**Total energy**: -119.56 eV/f.u.
**Symmetry**: P4/mmm, No. 123

Values for ρ, g/cm³, ordered as above
5.1 9.4 9.2 5.3 8.4 7.5